Record 1
Material: Ce2PuIn6
Method: DFT, PBE
State: relaxed

The calculation puts the total energy at -0.1850 Ha/atom. Its formation energy is -298 meV/atom.

The space group is P6/mmm (No. 191) and the conventional cell measures 8.8479, 8.8479 and 3.4983 Å, with angles of 90.00, 90.00 and 120.00 degrees. Symmetry generates all atoms from Ce at (0.3333, 0.6667, 0.0000), Pu at (0.0000, 0.0000, 0.0000) and In at (0.0000, 0.3332, 0.5000).


Record 2
Material: Pm2DyHg6
Method: DFT, PBE
State: relaxed

The calculation puts the total energy at -0.0801 Ha/atom. Its formation energy is -411 meV/atom.

The space group is P6/mmm (No. 191) and the conventional cell measures 8.6769, 8.6769 and 3.4639 Å, with angles of 90.00, 90.00 and 120.00 degrees. Symmetry generates all atoms from Pm at (0.3333, 0.6667, 0.0000), Dy at (0.0000, 0.0000, 0.0000) and Hg at (0.0000, 0.3315, 0.5000).


Record 3
Material: CrAs2Cl
Method: DFT, PBE
State: relaxed

The energy relative to the lowest polymorph listed for this composition is 266 meV/atom. The calculation puts the total energy at -0.1896 Ha/atom.

The space group is R-3m (No. 166, hexagonal axes) and the conventional cell measures 3.2428, 3.2428 and 22.8579 Å, with angles of 90.00, 90.00 and 120.00 degrees. Symmetry generates all atoms from Cr at (0.0000, 0.0000, 0.0000), As at (0.0000, 0.0000, 0.2646) and Cl at (0.0000, 0.0000, 0.5000).


Record 4
Material: Mg8Ge2Pt
Method: DFT, PBE
State: relaxed

The calculation puts the total energy at -0.1048 Ha/atom. Its formation energy is -305 meV/atom.

The space group is C2/m (No. 12) and the conventional cell measures 15.738, 4.577 and 6.641 Å, with angles of 90.00, 112.91 and 90.00 degrees. Symmetry generates all atoms from Mg at (0.025, 0.000, 0.302), Mg at (0.093, 0.500, 0.935), Mg at (0.162, 0.500, 0.442), Mg at (0.188, 0.000, 0.776), Ge at (0.178, 0.000, 0.182) and Pt at (0.000, 0.500, 0.500).


Record 5
Material: Tl2MoPb2
Method: DFT, PBE
State: relaxed

The energy relative to the lowest polymorph listed for this composition is 140 meV/atom. The calculation puts the total energy at -0.1390 Ha/atom. Its formation energy is 813 meV/atom.

The space group is I4/mmm (No. 139) and the conventional cell measures 4.085, 4.085 and 18.051 Å, with angles of 90.00, 90.00 and 90.00 degrees. Symmetry generates all atoms from Tl at (0.000, 0.500, 0.250), Mo at (0.000, 0.000, 0.000) and Pb at (0.000, 0.000, 0.416).